Arrangement a

Entry from Alexandria: an optimized crystal structure of Sm4Ho4Tm (GGA-PBE). Values from VASP.

## Properties
space group: C2/m (12)

Geometry as Quantum ESPRESSO input:
```
&SYSTEM
  ibrav = 0, nat = 9, ntyp = 3
/
ATOMIC_SPECIES
Sm 150.36 Sm.upf
Ho 164.93 Ho.upf
Tm 168.93 Tm.upf
ATOMIC_POSITIONS crystal
Sm 0.133 0.695 0.039
Sm 0.867 0.305 0.961
Sm 0.719 0.849 0.713
Sm 0.281 0.151 0.287
Ho 0.927 0.768 0.377
Ho 0.626 0.428 0.319
Ho 0.374 0.572 0.681
Ho 0.073 0.232 0.623
Tm 0.500 0.000 0.000
CELL_PARAMETERS angstrom
-3.488 -4.096 1.413
0.968 -6.596 -5.776
4.543 -7.678 -0.091
```


Arrangement b

Entry from Alexandria: an optimized crystal structure of Sm4Ho4Tm (GGA-PBE). Values from VASP.

## Properties
space group: I4/mmm (139)

Geometry as Quantum ESPRESSO input:
```
&SYSTEM
  ibrav = 0, nat = 9, ntyp = 3
/
ATOMIC_SPECIES
Ho 164.93 Ho.upf
Sm 150.36 Sm.upf
Tm 168.93 Tm.upf
ATOMIC_POSITIONS crystal
Ho 0.334 0.332 0.000
Ho 0.334 0.000 0.332
Ho 0.666 0.000 0.668
Ho 0.666 0.668 0.000
Sm 0.000 0.331 0.669
Sm 0.331 0.669 0.669
Sm 0.000 0.669 0.331
Sm 0.669 0.331 0.331
Tm 0.000 0.000 0.000
CELL_PARAMETERS angstrom
-0.222 -0.259 5.026
-6.486 -4.181 2.023
3.957 -6.512 2.364
```


Energy relative to the most stable one, in meV/atom: arrangement a 88; arrangement b 0


Arrangement a

Entry from Alexandria: an optimized crystal structure of Sm2HoTm9 (GGA-PBE). Values from VASP.

## Properties
space group: P4/mmm (123)

Geometry as Quantum ESPRESSO input:
```
&SYSTEM
  ibrav = 0, nat = 12, ntyp = 3
/
ATOMIC_SPECIES
Tm 168.93 Tm.upf
Sm 150.36 Sm.upf
Ho 164.93 Ho.upf
ATOMIC_POSITIONS crystal
Tm 0.000 0.500 0.500
Tm 0.500 0.500 0.000
Tm 0.500 0.500 0.332
Tm 0.000 0.500 0.165
Tm 0.500 0.500 0.668
Tm 0.000 0.500 0.835
Tm 0.500 0.000 0.835
Tm 0.500 0.000 0.165
Tm 0.500 0.000 0.500
Sm 0.000 0.000 0.333
Sm 0.000 0.000 0.667
Ho 0.000 0.000 0.000
CELL_PARAMETERS angstrom
4.969 0.000 0.000
0.000 4.969 0.000
0.000 0.000 14.906
```


Arrangement b

Entry from Alexandria: an optimized crystal structure of Sm2HoTm9 (GGA-PBE). Values from VASP.

## Properties
space group: P6/mmm (191)

Geometry as Quantum ESPRESSO input:
```
&SYSTEM
  ibrav = 0, nat = 12, ntyp = 3
/
ATOMIC_SPECIES
Tm 168.93 Tm.upf
Sm 150.36 Sm.upf
Ho 164.93 Ho.upf
ATOMIC_POSITIONS crystal
Tm 0.500 0.650 0.825
Tm 0.500 0.825 0.650
Tm 0.000 0.500 0.500
Tm 0.000 0.000 0.500
Tm 0.500 0.825 0.175
Tm 0.500 0.350 0.175
Tm 0.000 0.500 0.000
Tm 0.500 0.175 0.825
Tm 0.500 0.175 0.350
Sm 0.000 0.667 0.333
Sm 0.000 0.333 0.667
Ho 0.000 0.000 0.000
CELL_PARAMETERS angstrom
-1.432 -3.144 0.321
7.987 -2.908 7.150
-9.371 4.650 3.732
```


Energy relative to the most stable one, in meV/atom: arrangement a 0; arrangement b 43


Arrangement a

Entry from Alexandria: an optimized crystal structure of Sm3Ho3Tm2 (GGA-PBE). Values from VASP.

## Properties
space group: C2/m (12)

Geometry as Quantum ESPRESSO input:
```
&SYSTEM
  ibrav = 0, nat = 8, ntyp = 3
/
ATOMIC_SPECIES
Sm 150.36 Sm.upf
Ho 164.93 Ho.upf
Tm 168.93 Tm.upf
ATOMIC_POSITIONS crystal
Sm 0.635 0.072 0.269
Sm 0.365 0.928 0.731
Sm 0.500 0.500 0.000
Ho 0.133 0.686 0.266
Ho 0.000 0.000 0.000
Ho 0.867 0.314 0.734
Tm 0.750 0.682 0.500
Tm 0.250 0.318 0.500
CELL_PARAMETERS angstrom
5.578 0.000 -1.050
-0.370 5.623 -1.965
-1.275 -0.400 8.570
```


Arrangement b

Entry from Alexandria: an optimized crystal structure of Sm3Ho3Tm2 (GGA-PBE). Values from VASP.

## Properties
space group: Immm (71)

Geometry as Quantum ESPRESSO input:
```
&SYSTEM
  ibrav = 0, nat = 8, ntyp = 3
/
ATOMIC_SPECIES
Sm 150.36 Sm.upf
Tm 168.93 Tm.upf
Ho 164.93 Ho.upf
ATOMIC_POSITIONS crystal
Sm 0.000 0.500 0.000
Sm 0.874 0.874 0.748
Sm 0.126 0.126 0.252
Tm 0.250 0.750 0.499
Tm 0.750 0.250 0.501
Ho 0.627 0.627 0.253
Ho 0.373 0.373 0.747
Ho 0.500 0.000 0.000
CELL_PARAMETERS angstrom
5.024 0.000 0.000
0.000 5.027 0.001
-2.512 -2.512 10.049
```


Energy relative to the most stable one, in meV/atom: arrangement a 66; arrangement b 0


Arrangement a

Entry from Alexandria: an optimized crystal structure of Sm12HoTm6 (GGA-PBE). Values from VASP.

## Properties
space group: R-3 (148)

Geometry as Quantum ESPRESSO input:
```
&SYSTEM
  ibrav = 0, nat = 19, ntyp = 3
/
ATOMIC_SPECIES
Tm 168.93 Tm.upf
Sm 150.36 Sm.upf
Ho 164.93 Ho.upf
ATOMIC_POSITIONS crystal
Tm 0.741 0.901 0.299
Tm 0.099 0.701 0.259
Tm 0.259 0.099 0.701
Tm 0.701 0.259 0.099
Tm 0.299 0.741 0.901
Tm 0.901 0.299 0.741
Sm 0.638 0.984 0.804
Sm 0.780 0.538 0.434
Sm 0.566 0.220 0.462
Sm 0.538 0.434 0.780
Sm 0.196 0.362 0.016
Sm 0.462 0.566 0.220
Sm 0.016 0.196 0.362
Sm 0.220 0.462 0.566
Sm 0.362 0.016 0.196
Sm 0.984 0.804 0.638
Sm 0.804 0.638 0.984
Sm 0.434 0.780 0.538
Ho 0.000 0.000 0.000
CELL_PARAMETERS angstrom
8.508 0.699 0.838
-0.599 8.515 0.838
-0.599 -0.698 8.528
```


Arrangement b

Entry from Alexandria: an optimized crystal structure of Sm12HoTm6 (GGA-PBE). Values from VASP.

## Properties
space group: R-3 (148)

Geometry as Quantum ESPRESSO input:
```
&SYSTEM
  ibrav = 0, nat = 19, ntyp = 3
/
ATOMIC_SPECIES
Tm 168.93 Tm.upf
Ho 164.93 Ho.upf
Sm 150.36 Sm.upf
ATOMIC_POSITIONS crystal
Tm 0.457 0.075 0.189
Tm 0.189 0.457 0.075
Tm 0.811 0.543 0.925
Tm 0.075 0.189 0.457
Tm 0.925 0.811 0.543
Tm 0.543 0.925 0.811
Ho 0.000 0.000 0.000
Sm 0.483 0.192 0.580
Sm 0.864 0.172 0.723
Sm 0.192 0.580 0.483
Sm 0.420 0.517 0.808
Sm 0.580 0.483 0.192
Sm 0.277 0.136 0.828
Sm 0.828 0.277 0.136
Sm 0.172 0.723 0.864
Sm 0.517 0.808 0.420
Sm 0.136 0.828 0.277
Sm 0.723 0.864 0.172
Sm 0.808 0.420 0.517
CELL_PARAMETERS angstrom
8.753 0.133 -2.685
-3.668 7.948 -2.685
0.084 0.133 9.155
```


Energy relative to the most stable one, in meV/atom: arrangement a 0; arrangement b 105